A geometry-optimized Zn4Au3 structure. Source: Alexandria, functional PBE-GGA.

The crystal system is tetragonal. Its energy above the most stable polymorph in this dataset is 24 meV/atom. As for the energy relative to the elements: -1.15 eV/f.u. The calculation puts the volume at 16.386 A^3/atom. The calculation puts the electronic total energy at -2.296 eV per atom.

Geometry as POSCAR:
```
Zn4Au3
1.0
-1.719 1.719 9.709
1.719 -1.719 9.709
1.719 1.719 -9.709
Zn Au
4 3
direct
0.069 0.069 0.000 Zn
0.357 0.357 0.000 Zn
0.643 0.643 0.000 Zn
0.931 0.931 0.000 Zn
0.206 0.206 0.000 Au
0.500 0.500 0.000 Au
0.794 0.794 0.000 Au
```